[1]
# Na3TeH (GGA-PBE, relaxed)
data_Na3TeH
_chemical_formula_sum 'Na12 Te4 H4'
_space_group_name_H-M_alt 'P 1 21/c 1'
_space_group_IT_number 14
_space_group_name_Hall '-P 2ybc'
_cell_length_a 7.215
_cell_length_b 6.372
_cell_length_c 10.742
_cell_angle_alpha 90.00
_cell_angle_beta 100.93
_cell_angle_gamma 90.00
loop_
_atom_site_label
_atom_site_type_symbol
_atom_site_fract_x
_atom_site_fract_y
_atom_site_fract_z
Na1 Na 0.045 0.040 0.144
Na2 Na 0.200 0.552 0.071
Na3 Na 0.389 0.209 0.897
Te1 Te 0.337 0.723 0.831
H1 H 0.092 0.243 0.979
# Energy above the most stable polymorph in this dataset = 0.0725 eV per atom
# Fermi-level density of states = 0.00 states/eV/f.u.
# Calculated density = 2.71 Mg/m³
# VASP energy = -0.09774 Ha/atom

[2]
# Sr20P12BrO48F3 (GGA-PBE, relaxed)
data_Sr20P12BrO48F3
_chemical_formula_sum 'Sr20 P12 Br1 O48 F3'
_space_group_name_H-M_alt 'P 1'
_space_group_IT_number 1
_space_group_name_Hall 'P 1'
_cell_length_a 7.342
_cell_length_b 9.910
_cell_length_c 17.164
_cell_angle_alpha 90.05
_cell_angle_beta 90.02
_cell_angle_gamma 90.03
loop_
_atom_site_label
_atom_site_type_symbol
_atom_site_fract_x
_atom_site_fract_y
_atom_site_fract_z
Sr1 Sr 0.000 0.000 0.000
Sr2 Sr 0.000 0.132 0.356
Sr3 Sr 0.248 0.378 0.026
Sr4 Sr 0.249 0.871 0.528
Sr5 Sr 0.254 0.875 0.196
Sr6 Sr 0.257 0.379 0.694
Sr7 Sr 0.498 0.261 0.237
Sr8 Sr 0.499 0.247 0.481
Sr9 Sr 0.500 0.627 0.367
Sr10 Sr 0.506 0.748 0.982
Sr11 Sr 0.506 0.760 0.737
Sr12 Sr 0.508 0.116 0.865
Sr13 Sr 0.744 0.379 0.034
Sr14 Sr 0.748 0.878 0.524
Sr15 Sr 0.752 0.875 0.195
Sr16 Sr 0.753 0.377 0.694
Sr17 Sr 0.995 0.604 0.855
Sr18 Sr 0.998 0.021 0.730
Sr19 Sr 0.998 0.510 0.242
Sr20 Sr 0.999 0.493 0.487
P1 P 0.000 0.163 0.543
P2 P 0.000 0.762 0.377
P3 P 0.004 0.708 0.661
P4 P 0.005 0.659 0.046
P5 P 0.006 0.255 0.878
P6 P 0.498 0.592 0.178
P7 P 0.499 0.994 0.346
P8 P 0.502 0.546 0.561
P9 P 0.503 0.046 0.065
P10 P 0.503 0.095 0.674
P11 P 0.503 0.485 0.845
P12 P 0.999 0.210 0.164
Br1 Br 0.180 0.873 0.861
O1 O 0.000 0.212 0.073
O2 O 0.000 0.281 0.604
O3 O 0.000 0.901 0.420
O4 O 0.001 0.781 0.287
O5 O 0.002 0.025 0.587
O6 O 0.006 0.563 0.696
O7 O 0.009 0.286 0.789
O8 O 0.009 0.786 0.100
O9 O 0.168 0.288 0.194
O10 O 0.170 0.171 0.490
O11 O 0.171 0.681 0.404
O12 O 0.182 0.643 0.998
O13 O 0.185 0.785 0.676
O14 O 0.188 0.196 0.908
O15 O 0.325 0.598 0.230
O16 O 0.326 0.072 0.319
O17 O 0.326 0.468 0.537
O18 O 0.328 0.558 0.817
O19 O 0.331 0.094 0.727
O20 O 0.332 0.966 0.038
O21 O 0.494 0.466 0.124
O22 O 0.496 0.971 0.436
O23 O 0.501 0.691 0.526
O24 O 0.502 0.051 0.156
O25 O 0.503 0.230 0.627
O26 O 0.504 0.856 0.302
O27 O 0.505 0.470 0.936
O28 O 0.505 0.970 0.619
O29 O 0.506 0.190 0.029
O30 O 0.506 0.725 0.129
O31 O 0.511 0.345 0.803
O32 O 0.511 0.551 0.652
O33 O 0.668 0.589 0.233
O34 O 0.669 0.078 0.322
O35 O 0.669 0.465 0.531
O36 O 0.671 0.568 0.817
O37 O 0.675 0.096 0.727
O38 O 0.675 0.965 0.040
O39 O 0.826 0.287 0.192
O40 O 0.828 0.167 0.491
O41 O 0.828 0.681 0.403
O42 O 0.840 0.667 0.989
O43 O 0.843 0.791 0.696
O44 O 0.849 0.155 0.897
O45 O 0.975 0.390 0.925
O46 O 0.982 0.702 0.570
O47 O 0.986 0.527 0.096
O48 O 0.999 0.061 0.194
F1 F 0.489 0.380 0.362
F2 F 0.600 0.873 0.862
F3 F 0.995 0.379 0.362
# Fermi-level density of states = 0.00 states/eV/f.u.
# Calculated density = 4.03 Mg/m³
# Raw formation energy = -2973 meV per atom
# VASP energy = -0.25968 Ha/atom

[3]
# BaPN3 (GGA-PBE, relaxed)
data_BaPN3
_chemical_formula_sum 'Ba1 P1 N3'
_space_group_name_H-M_alt 'P m -3 m'
_space_group_IT_number 221
_space_group_name_Hall '-P 4 2 3'
_cell_length_a 4.998
_cell_length_b 4.998
_cell_length_c 4.998
_cell_angle_alpha 90.00
_cell_angle_beta 90.00
_cell_angle_gamma 90.00
loop_
_atom_site_label
_atom_site_type_symbol
_atom_site_fract_x
_atom_site_fract_y
_atom_site_fract_z
Ba1 Ba 0.000 0.000 0.000
P1 P 0.500 0.500 0.500
N1 N 0.000 0.000 0.500
# Fermi-level density of states = 1.82 states/eV/f.u.
# Calculated density = 2.80 Mg/m³
# Raw formation energy = 2713 meV per atom
# VASP energy = -0.13776 Ha/atom

[4]
# AlInTe3 (GGA-PBE, relaxed)
data_AlInTe3
_chemical_formula_sum 'Al1 In1 Te3'
_space_group_name_H-M_alt 'P m -3 m'
_space_group_IT_number 221
_space_group_name_Hall '-P 4 2 3'
_cell_length_a 5.698
_cell_length_b 5.698
_cell_length_c 5.698
_cell_angle_alpha 90.00
_cell_angle_beta 90.00
_cell_angle_gamma 90.00
loop_
_atom_site_label
_atom_site_type_symbol
_atom_site_fract_x
_atom_site_fract_y
_atom_site_fract_z
Al1 Al 0.000 0.000 0.000
In1 In 0.500 0.500 0.500
Te1 Te 0.000 0.500 0.500
# Energy above the most stable polymorph in this dataset = 0.8191 eV per atom
# Fermi-level density of states = 4.47 states/eV/f.u.
# Calculated density = 4.71 Mg/m³
# Raw formation energy = 468 meV per atom
# VASP energy = -0.09972 Ha/atom

What did the first record say?
# Na3TeH (GGA-PBE, relaxed)
data_Na3TeH
_chemical_formula_sum 'Na12 Te4 H4'
_space_group_name_H-M_alt 'P 1 21/c 1'
_space_group_IT_number 14
_space_group_name_Hall '-P 2ybc'
_cell_length_a 7.215
_cell_length_b 6.372
_cell_length_c 10.742
_cell_angle_alpha 90.00
_cell_angle_beta 100.93
_cell_angle_gamma 90.00
loop_
_atom_site_label
_atom_site_type_symbol
_atom_site_fract_x
_atom_site_fract_y
_atom_site_fract_z
Na1 Na 0.045 0.040 0.144
Na2 Na 0.200 0.552 0.071
Na3 Na 0.389 0.209 0.897
Te1 Te 0.337 0.723 0.831
H1 H 0.092 0.243 0.979
# Energy above the most stable polymorph in this dataset = 0.0725 eV per atom
# Fermi-level density of states = 0.00 states/eV/f.u.
# Calculated density = 2.71 Mg/m³
# VASP energy = -0.09774 Ha/atom

Question: Which formula does entry 1 have?
Answer: Na3TeH